1.
This record from Alexandria via LeMat-Bulk describes AcCuSi after structural relaxation. The functional is PBE-GGA.

Values from the calculation:
excess energy over the best structure of this formula in the dataset	0	meV/atom
total moment	0.00	μB per formula unit
ΔE_f (raw)	-1.60	eV/f.u.

Lattice parameters (Å, degrees): 4.306 4.306 8.739 90.00 90.00 120.01
Atoms (fractional coordinates):
Si (0.333, 0.167, 0.750)
Cu (0.334, 0.166, 0.250)
Cu (0.666, 0.834, 0.750)
Ac (0.000, 0.500, 0.000)
Si (0.667, 0.833, 0.250)
Ac (0.000, 0.500, 0.500)

2.
This record from Alexandria via LeMat-Bulk describes Pu4Si2C after structural relaxation. The functional is PBE-GGA.

Values from the calculation:
total moment	19.95	μB per formula unit
ΔE_f (raw)	-0.89	eV/f.u.

Lattice parameters (Å, degrees): 4.574 4.574 8.219 106.16 106.16 90.00
Atoms (fractional coordinates):
Pu (0.174, 0.174, 0.347)
Pu (0.500, 0.000, 0.000)
C (0.000, 0.000, 0.000)
Pu (0.000, 0.500, 0.000)
Pu (0.826, 0.826, 0.653)
Si (0.367, 0.367, 0.735)
Si (0.633, 0.633, 0.265)

3.
This record from Alexandria via LeMat-Bulk describes NaH3Pd after structural relaxation. The functional is PBE-GGA.

Values from the calculation:
excess energy over the best structure of this formula in the dataset	325	meV/atom
total moment	0.00	μB per formula unit

Lattice parameters (Å, degrees): 2.786 5.754 5.754 133.42 90.00 90.00
Atoms (fractional coordinates):
Pd (0.000, 0.415, 0.585)
H (0.500, 0.187, 0.337)
H (0.000, 0.258, 0.742)
Na (0.500, 0.105, 0.895)
H (0.500, 0.663, 0.813)

4.
This record from Alexandria via LeMat-Bulk describes LaNd12Ho6 after structural relaxation. The functional is PBE-GGA.

Values from the calculation:
formation enthalpy at 0 K	3.567	eV/f.u.
excess energy over the best structure of this formula in the dataset	58	meV/atom
total moment	0.02	μB per formula unit

Lattice parameters (Å, degrees): 8.886 8.886 8.886 99.32 99.32 99.32
Atoms (fractional coordinates):
Nd (0.500, 0.241, 0.759)
Ho (0.100, 0.662, 0.100)
Ho (0.100, 0.100, 0.662)
La (0.000, 0.000, 0.000)
Ho (0.662, 0.100, 0.100)
Nd (0.647, 0.647, 0.919)
Nd (0.241, 0.500, 0.759)
Ho (0.900, 0.900, 0.338)
Nd (0.647, 0.919, 0.647)
Nd (0.241, 0.759, 0.500)
Ho (0.338, 0.900, 0.900)
Nd (0.759, 0.500, 0.241)
Nd (0.759, 0.241, 0.500)
Nd (0.353, 0.081, 0.353)
Nd (0.353, 0.353, 0.081)
Nd (0.919, 0.647, 0.647)
Nd (0.500, 0.759, 0.241)
Nd (0.081, 0.353, 0.353)
Ho (0.900, 0.338, 0.900)